[1]
First-principles (PBE) data for crystalline AuC at its relaxed geometry, as listed in Alexandria.

The space group is P6_3/mmc (No. 194) and the conventional cell measures 3.2540, 3.2540 and 5.6086 Å, with angles of 90.00, 90.00 and 120.00 degrees. The distinct sites, in fractional coordinates, are Au at (0.0000, 0.0000, 0.0000) and C at (0.3333, 0.6667, 0.2500).

For the offset from the most stable computed form, the calculation gives 1.769 eV/atom. The formation energy is 198 kJ/mol of atoms. For the volume, the calculation gives 51 Å³ per cell.



[2]
First-principles (PBE) data for crystalline AuC3 at its relaxed geometry, as listed in Alexandria.

The space group is P-6m2 (No. 187) and the conventional cell measures 2.6086, 2.6086 and 8.4246 Å, with angles of 90.00, 90.00 and 120.00 degrees. The distinct sites, in fractional coordinates, are Au at (0.0000, 0.0000, 0.0000), C at (0.0000, 0.0000, 0.5000) and C at (0.6667, 0.3333, 0.4029).

For the offset from the most stable computed form, the calculation gives 1.318 eV/atom. The formation energy is 210 kJ/mol of atoms. For the volume, the calculation gives 50 Å³ per cell.



[3]
First-principles (PBE) data for crystalline AuC at its relaxed geometry, as listed in Alexandria.

The space group is P6/mmm (No. 191) and the conventional cell measures 3.1971, 3.1971 and 3.9010 Å, with angles of 90.00, 90.00 and 120.00 degrees. The distinct sites, in fractional coordinates, are Au at (0.0000, 0.0000, 0.0000) and C at (0.0000, 0.0000, 0.5000).

For the offset from the most stable computed form, the calculation gives 1.837 eV/atom. The formation energy is 205 kJ/mol of atoms. For the volume, the calculation gives 35 Å³ per cell.



[4]
First-principles (PBE) data for crystalline AuC at its relaxed geometry, as listed in Alexandria.

The space group is Cm (No. 8) and the conventional cell measures 11.943, 2.646 and 6.189 Å, with angles of 90.00, 117.25 and 90.00 degrees. The distinct sites, in fractional coordinates, are Au at (0.000, 0.000, 0.000), Au at (0.003, 0.500, 0.446), Au at (0.238, 0.000, 0.458), C at (0.240, 0.000, 0.965), C at (0.241, 0.500, 0.959) and C at (0.410, 0.500, 0.614).

For the offset from the most stable computed form, the calculation gives 0.865 eV/atom. The formation energy is 111 kJ/mol of atoms. For the volume, the calculation gives 174 Å³ per cell.



[5]
First-principles (PBE) data for crystalline AuC at its relaxed geometry, as listed in Alexandria.

The space group is C2 (No. 5) and the conventional cell measures 4.973, 4.140 and 3.752 Å, with angles of 90.00, 131.19 and 90.00 degrees. The distinct sites, in fractional coordinates, are Au at (0.000, 0.000, 0.000) and C at (0.000, 0.252, 0.500).

For the offset from the most stable computed form, the calculation gives 1.586 eV/atom. The formation energy is 180 kJ/mol of atoms. For the volume, the calculation gives 58 Å³ per cell.



[6]
First-principles (PBE) data for crystalline AuC3 at its relaxed geometry, as listed in Alexandria.

The space group is Cmcm (No. 63) and the conventional cell measures 3.412, 9.193 and 7.792 Å, with angles of 90.00, 90.00 and 90.00 degrees. The distinct sites, in fractional coordinates, are Au at (0.000, 0.200, 0.250), C at (0.000, 0.497, 0.250) and C at (0.199, 0.108, 0.750).

For the offset from the most stable computed form, the calculation gives 0.505 eV/atom. The formation energy is 132 kJ/mol of atoms. For the volume, the calculation gives 244 Å³ per cell.



> Which of these has the lowest offset from the most stable computed form?

number 6



> Look up the volume of the first one.

51 Å³ per cell